No. 1
# NbNiRh3 | the Alexandria database | PBE-GGA | optimized geometry
# * raw total energy: -6.3194 eV/atom
# * M_tot: 1.08 μB/cell
# * calculated density: 7.43 g/cm3
data_NbNiRh3
_symmetry_space_group_name_H-M 'P m -3 m'
_symmetry_Int_Tables_number 221
_symmetry_space_group_name_Hall '-P 4 2 3'
_cell_length_a 4.685
_cell_length_b 4.685
_cell_length_c 4.685
_cell_angle_alpha 90.00
_cell_angle_beta 90.00
_cell_angle_gamma 90.00
loop_
_atom_site_label
_atom_site_fract_x
_atom_site_fract_y
_atom_site_fract_z
_atom_site_occupancy
Nb1 0.000 0.000 0.000 1
Ni1 0.500 0.500 0.500 1
Rh1 0.000 0.000 0.500 1

***

No. 2
# Cs2TlHN | the Alexandria database | PBE-GGA | optimized geometry
# * raw total energy: -2.7813 eV/atom
# * M_tot: 0.00 μB/cell
# * calculated density: 4.29 g/cm3
data_Cs2TlHN
_symmetry_space_group_name_H-M 'P 4/m m m'
_symmetry_Int_Tables_number 123
_symmetry_space_group_name_Hall '-P 4 2'
_cell_length_a 6.486
_cell_length_b 6.486
_cell_length_c 4.461
_cell_angle_alpha 90.00
_cell_angle_beta 90.00
_cell_angle_gamma 90.00
loop_
_atom_site_label
_atom_site_fract_x
_atom_site_fract_y
_atom_site_fract_z
_atom_site_occupancy
Cs1 0.000 0.500 0.000 1
Tl1 0.000 0.000 0.500 1
H1 0.500 0.500 0.500 1
N1 0.000 0.000 0.000 1

***

No. 3
# YNpTe3 | the Alexandria database | PBE-GGA | optimized geometry
# * ΔE_f (raw): -1.03 eV/atom
# * M_tot: 15.98 μB/cell
# * calculated density: 7.67 g/cm3
data_YNpTe3
_symmetry_space_group_name_H-M 'P n m a'
_symmetry_Int_Tables_number 62
_cell_length_a 8.271
_cell_length_b 4.360
_cell_length_c 17.031
_cell_angle_alpha 90.00
_cell_angle_beta 90.00
_cell_angle_gamma 90.00
loop_
_symmetry_equiv_pos_as_xyz
'x,y,z'
'-x,-y,-z'
'-x+1/2,-y,z+1/2'
'x+1/2,y,-z+1/2'
'x+1/2,-y+1/2,-z+1/2'
'-x+1/2,y+1/2,z+1/2'
'-x,y+1/2,-z'
'x,-y+1/2,z'
loop_
_atom_site_label
_atom_site_fract_x
_atom_site_fract_y
_atom_site_fract_z
_atom_site_occupancy
Y1 0.232 0.250 0.042 1
Np1 0.135 0.750 0.294 1
Te1 0.003 0.750 0.109 1
Te2 0.119 0.250 0.433 1
Te3 0.150 0.750 0.719 1

***

No. 4
# TaAs2OsW | the Alexandria database | PBE-GGA | optimized geometry
# * raw total energy: -7.4833 eV/atom
# * M_tot: 1.12 μB/cell
# * calculated density: 11.03 g/cm3
data_TaAs2OsW
_symmetry_space_group_name_H-M 'P 4/m m m'
_symmetry_Int_Tables_number 123
_symmetry_space_group_name_Hall '-P 4 2'
_cell_length_a 4.640
_cell_length_b 4.640
_cell_length_c 4.927
_cell_angle_alpha 90.00
_cell_angle_beta 90.00
_cell_angle_gamma 90.00
loop_
_atom_site_label
_atom_site_fract_x
_atom_site_fract_y
_atom_site_fract_z
_atom_site_occupancy
Ta1 0.000 0.000 0.000 1
As1 0.000 0.500 0.500 1
Os1 0.500 0.500 0.500 1
W1 0.500 0.500 0.000 1

***

No. 5
# MgTiRu | the Alexandria database | PBE-GGA | optimized geometry
# * raw total energy: -6.5519 eV/atom
# * M_tot: 0.00 μB/cell
# * calculated density: 6.01 g/cm3
data_MgTiRu
_symmetry_space_group_name_H-M 'P n m a'
_symmetry_Int_Tables_number 62
_cell_length_a 5.341
_cell_length_b 4.425
_cell_length_c 8.106
_cell_angle_alpha 90.00
_cell_angle_beta 90.00
_cell_angle_gamma 90.00
loop_
_symmetry_equiv_pos_as_xyz
'x,y,z'
'-x,-y,-z'
'-x+1/2,-y,z+1/2'
'x+1/2,y,-z+1/2'
'x+1/2,-y+1/2,-z+1/2'
'-x+1/2,y+1/2,z+1/2'
'-x,y+1/2,-z'
'x,-y+1/2,z'
loop_
_atom_site_label
_atom_site_fract_x
_atom_site_fract_y
_atom_site_fract_z
_atom_site_occupancy
Mg1 0.035 0.250 0.229 1
Ti1 0.175 0.250 0.568 1
Ru1 0.200 0.250 0.909 1

***

No. 6
# LiPmTa4N8 | the Alexandria database | PBE-GGA | optimized geometry
# * ΔE_f (raw): -0.99 eV/atom
# * M_tot: 0.00 μB/cell
# * calculated density: 8.93 g/cm3
data_LiPmTa4N8
_symmetry_space_group_name_H-M 'R 3 m'
_symmetry_Int_Tables_number 160
_symmetry_space_group_name_Hall 'R 3 -2"'
_cell_length_a 6.3581
_cell_length_b 6.3581
_cell_length_c 15.7410
_cell_angle_alpha 90.00
_cell_angle_beta 90.00
_cell_angle_gamma 120.00
loop_
_atom_site_label
_atom_site_fract_x
_atom_site_fract_y
_atom_site_fract_z
_atom_site_occupancy
Li1 0.0000 0.0000 0.0000 1
Pm1 0.0000 0.0000 0.3785 1
Ta1 0.0000 0.0000 0.6208 1
Ta2 0.1728 0.3456 0.8288 1
N1 0.0000 0.0000 0.2339 1
N2 0.0000 0.0000 0.7562 1
N3 0.0056 0.5028 0.2398 1
N4 0.0468 0.5234 0.7626 1